This record from the Alexandria database describes Ac6SnTe2Se3 after structural relaxation. The functional is PBE-GGA.

Values from the calculation:
Total magnetic moment   0.000 μB/f.u.
Energy relative to the elements, uncorrected   -1.572 eV/atom
Calculated total energy   -5.354 eV per atom

a = 8.016 Å, b = 13.879 Å, c = 8.014 Å
α = 90.00°, β = 109.44°, γ = 90.00°
Space group C2/m (No. 12)
Unique sites:
Ac 0.237 0.000 0.233 x4
Ac 0.248 0.337 0.233 x8
Sn 0.000 0.000 0.500 x2
Te 0.000 0.333 0.500 x4
Se 0.000 0.168 0.000 x4
Se 0.000 0.500 0.000 x2

This record from the Alexandria database describes SnSb2As2 after structural relaxation. The functional is PBE-GGA.

Values from the calculation:
Total magnetic moment   0.000 μB/f.u.
Energy relative to the elements, uncorrected   0.170 eV/atom
Calculated total energy   -4.140 eV per atom
E above lowest polymorph   0.0 meV/atom

a = 8.291 Å, b = 8.291 Å, c = 3.817 Å
α = 90.00°, β = 90.00°, γ = 90.00°
Space group P4/mbm (No. 127)
Unique sites:
Sn 0.000 0.000 0.000 x2
Sb 0.168 0.332 0.500 x4
As 0.168 0.668 0.000 x4

This record from the Alexandria database describes AlCo2P after structural relaxation. The functional is PBE-GGA.

Values from the calculation:
Total magnetic moment   0.236 μB/f.u.
Calculated total energy   -6.138 eV per atom
Formation energy   -28.65 kJ per mole of atoms
E above lowest polymorph   105.8 meV/atom

a = 3.383 Å, b = 3.383 Å, c = 7.801 Å
α = 90.00°, β = 90.00°, γ = 90.00°
Space group I-4m2 (No. 119)
Unique sites:
Al 0.000 0.000 0.000 x2
Co 0.000 0.000 0.500 x2
Co 0.000 0.500 0.750 x2
P 0.000 0.500 0.250 x2